No. 1
# Rb2HgIBr6

A geometry-optimized Rb2HgIBr6 structure (GGA-PBE, Alexandria via LeMat-Bulk).

## Properties
Theoretical density in g/cm3: 3.93
DOS(E_F) in states/eV per atom: 0.50
Raw formation energy in eV/atom: -0.785
Spin magnetization in μB/cell: 0.000

abc: 8.442 8.442 8.318
angles: 59.51 59.51 90.00
Sites, in units of the cell vectors:
Br  0.225  0.225  0.000
Br  0.775  0.225  0.000
Br  0.225  0.775  0.000
Br  0.268  0.268  0.465
Br  0.775  0.775  0.000
Br  0.732  0.732  0.535
Hg  0.000  0.000  0.000
Rb  0.750  0.250  0.500
Rb  0.250  0.750  0.500
I  0.500  0.500  0.000

---

No. 2
# RbHgI2Br

A geometry-optimized RbHgI2Br structure (GGA-PBE, Alexandria via LeMat-Bulk).

## Properties
Theoretical density in g/cm3: 4.17
Excess energy over the best structure of this formula in the dataset in meV/atom: 0
DOS(E_F) in states/eV per atom: 0.00
Raw formation energy in eV/atom: -0.851
Spin magnetization in μB/cell: 0.000

abc: 6.720 8.192 11.035
angles: 125.71 90.00 90.00
Sites, in units of the cell vectors:
I  0.250  0.052  0.132
I  0.750  0.845  0.279
I  0.750  0.948  0.868
I  0.250  0.155  0.721
Rb  0.250  0.624  0.356
Rb  0.750  0.376  0.644
Br  0.250  0.534  0.631
Br  0.750  0.466  0.369
Hg  0.750  0.064  0.162
Hg  0.250  0.936  0.838

---

No. 3
# RbHgI2Br

A geometry-optimized RbHgI2Br structure (GGA-PBE, Alexandria via LeMat-Bulk).

## Properties
Theoretical density in g/cm3: 4.97
Excess energy over the best structure of this formula in the dataset in meV/atom: 83
DOS(E_F) in states/eV per atom: 0.20
Raw formation energy in eV/atom: -0.767
Spin magnetization in μB/cell: 0.000

abc: 6.025 6.025 5.698
angles: 90.00 90.00 90.00
Sites, in units of the cell vectors:
I  0.500  0.000  0.000
I  0.000  0.500  0.000
Rb  0.500  0.500  0.500
Hg  0.000  0.000  0.000
Br  0.000  0.000  0.500

---

No. 4
# Rb2HgI6Br

A geometry-optimized Rb2HgI6Br structure (GGA-PBE, Alexandria via LeMat-Bulk).

## Properties
Theoretical density in g/cm3: 4.23
DOS(E_F) in states/eV per atom: 0.59
Raw formation energy in eV/atom: -0.583
Spin magnetization in μB/cell: 0.000

abc: 8.852 8.852 8.725
angles: 59.52 59.52 90.00
Sites, in units of the cell vectors:
Rb  0.250  0.750  0.500
Rb  0.750  0.250  0.500
I  0.272  0.272  0.456
I  0.229  0.771  0.000
I  0.728  0.728  0.544
I  0.229  0.229  0.000
I  0.771  0.771  0.000
I  0.771  0.229  0.000
Hg  0.000  0.000  0.000
Br  0.500  0.500  0.000

---

No. 5
# RbHgIBr2

A geometry-optimized RbHgIBr2 structure (GGA-PBE, Alexandria via LeMat-Bulk).

## Properties
Theoretical density in g/cm3: 4.13
Excess energy over the best structure of this formula in the dataset in meV/atom: 0
DOS(E_F) in states/eV per atom: 0.00
Raw formation energy in eV/atom: -0.921
Spin magnetization in μB/cell: 0.000

abc: 6.543 8.078 8.846
angles: 100.03 90.00 90.00
Sites, in units of the cell vectors:
Hg  0.250  0.902  0.844
Hg  0.750  0.098  0.156
Br  0.750  0.937  0.871
Br  0.250  0.101  0.633
Br  0.750  0.899  0.367
Br  0.250  0.063  0.129
Rb  0.250  0.729  0.343
Rb  0.750  0.271  0.657
I  0.250  0.565  0.732
I  0.750  0.435  0.268

---

No. 6
# RbHgIBr2

A geometry-optimized RbHgIBr2 structure (GGA-PBE, Alexandria via LeMat-Bulk).

## Properties
Theoretical density in g/cm3: 4.92
Excess energy over the best structure of this formula in the dataset in meV/atom: 76
DOS(E_F) in states/eV per atom: 0.09
Raw formation energy in eV/atom: -0.845
Spin magnetization in μB/cell: 0.000

abc: 5.691 5.691 5.966
angles: 90.00 90.00 90.00
Sites, in units of the cell vectors:
I  0.000  0.000  0.500
Br  0.000  0.500  0.000
Br  0.500  0.000  0.000
Rb  0.500  0.500  0.500
Hg  0.000  0.000  0.000

---

No. 7
# Rb2HgI2Br2

A geometry-optimized Rb2HgI2Br2 structure (GGA-PBE, Alexandria via LeMat-Bulk).

## Properties
Theoretical density in g/cm3: 4.41
Raw formation energy in eV/atom: -1.042
Spin magnetization in μB/cell: 0.000

abc: 4.743 8.489 8.744
angles: 61.84 74.26 89.99
Sites, in units of the cell vectors:
Rb  0.153  0.683  0.694
Rb  0.847  0.317  0.306
I  0.477  0.720  0.047
I  0.523  0.280  0.953
Hg  0.000  0.000  0.000
Br  0.820  0.876  0.360
Br  0.180  0.124  0.640

---

No. 8
# Re2HgIBr

A geometry-optimized Re2HgIBr structure (GGA-PBE, Alexandria via LeMat-Bulk).

## Properties
Theoretical density in g/cm3: 7.87
DOS(E_F) in states/eV per atom: 0.67
Raw formation energy in eV/atom: 2.263
Spin magnetization in μB/cell: 9.508

abc: 5.505 5.429 5.505
angles: 90.00 90.00 90.00
Site moments in Bohr magnetons follow the coordinates.
Sites, in units of the cell vectors:
Br  0.000  0.500  0.000  0.12
Re  0.000  0.000  0.500  3.83
Re  0.500  0.000  0.000  3.63
Hg  0.000  0.000  0.000  0.02
I  0.500  0.500  0.500  0.18